# 1
DFT (PBE) results for a relaxed structure of Tb5PrEr2Th.

The space group is Cmc2_1 (No. 36) and the conventional cell measures 5.6507, 20.1543 and 10.3785 Å, with angles of 90.00, 90.00 and 90.00 degrees. Symmetry generates all atoms from Tb at (0.0000, 0.0161, 0.0000), Tb at (0.0000, 0.2750, 0.2955), Tb at (0.0000, 0.2967, 0.6862), Tb at (0.0000, 0.3876, 0.0038), Tb at (0.0000, 0.4765, 0.7146), Pr at (0.0000, 0.4119, 0.4201), Er at (0.0000, 0.1133, 0.2971), Er at (0.0000, 0.1147, 0.7085) and Th at (0.0000, 0.1989, 0.9939).

Its size of the total moment is 0.000 μB/atom. The calculation puts the density of states at the Fermi level at 14.21 states/eV/f.u. The formation energy is 168.2 meV per atom.


# 2
DFT (PBE) results for a relaxed structure of TbSc2In.

The space group is Fm-3m (No. 225) and the conventional cell measures 7.3495, 7.3495 and 7.3495 Å, with angles of 90.00, 90.00 and 90.00 degrees. Symmetry generates all atoms from Tb at (0.0000, 0.0000, 0.0000), Sc at (0.2500, 0.2500, 0.2500) and In at (0.0000, 0.0000, 0.5000).

Its size of the total moment is 0.409 μB/atom. The calculation puts the density of states at the Fermi level at 5.83 states/eV/f.u. The formation energy is -125.0 meV per atom. For the energy above the lowest structure with this stoichiometry, the calculation gives 0.140 eV per atom.


# 3
DFT (PBE) results for a relaxed structure of Ca2Ni3P4Ru.

The space group is P-4m2 (No. 115) and the conventional cell measures 3.9832, 3.9832 and 9.4115 Å, with angles of 90.00, 90.00 and 90.00 degrees. Symmetry generates all atoms from Ca at (0.0000, 0.5000, 0.2387), Ni at (0.0000, 0.5000, 0.8815), Ni at (0.5000, 0.5000, 0.5000), P at (0.0000, 0.0000, 0.0000), P at (0.0000, 0.5000, 0.6380), P at (0.5000, 0.5000, 0.0000) and Ru at (0.0000, 0.0000, 0.5000).

Its size of the total moment is 0.000 μB/atom. The calculation puts the density of states at the Fermi level at 7.08 states/eV/f.u. The formation energy is -803.6 meV per atom.